Entry from OQMD: Pr2Sm2CI2Br3 after structural relaxation (PBE-GGA).

Results
DFT total energy ... -4.94 eV/atom
Density ... 5.69 g/cm3
ΔE to the lowest computed polymorph ... 0.0 meV per atom

```
data_Pr2Sm2CI2Br3
_chemical_formula_sum 'Pr2 Sm2 C1 I2 Br3'
_cell_length_a 9.720
_cell_length_b 9.720
_cell_length_c 8.506
_cell_angle_alpha 101.69
_cell_angle_beta 101.69
_cell_angle_gamma 23.81
_space_group_name_H-M_alt 'P 1'
_space_group_IT_number 1
_space_group_name_Hall 'P 1'
loop_
_atom_site_label
_atom_site_type_symbol
_atom_site_fract_x
_atom_site_fract_y
_atom_site_fract_z
_atom_site_occupancy
Pr1 Pr 0.001 0.001 0.293 1
Pr2 Pr 0.999 0.999 0.707 1
Sm1 Sm 0.366 0.366 0.431 1
Sm2 Sm 0.634 0.634 0.569 1
C1 C 0.500 0.500 0.500 1
I1 I 0.174 0.174 0.314 1
I2 I 0.826 0.826 0.686 1
Br1 Br 0.160 0.160 0.827 1
Br2 Br 0.500 0.500 0.000 1
Br3 Br 0.840 0.840 0.173 1
```


Entry from OQMD: BaZn2SiPt after structural relaxation (PBE-GGA).

Results
DFT total energy ... -3.68 eV/atom
Density ... 7.74 g/cm3

```
data_BaZn2SiPt
_chemical_formula_sum 'Ba1 Zn2 Si1 Pt1'
_cell_length_a 6.129
_cell_length_b 6.129
_cell_length_c 6.129
_cell_angle_alpha 137.09
_cell_angle_beta 137.09
_cell_angle_gamma 62.30
_space_group_name_H-M_alt 'P 1'
_space_group_IT_number 1
_space_group_name_Hall 'P 1'
loop_
_atom_site_label
_atom_site_type_symbol
_atom_site_fract_x
_atom_site_fract_y
_atom_site_fract_z
_atom_site_occupancy
Ba1 Ba 0.000 0.000 0.000 1
Zn1 Zn 0.248 0.748 0.500 1
Zn2 Zn 0.748 0.248 0.500 1
Si1 Si 0.619 0.619 0.000 1
Pt1 Pt 0.388 0.388 0.000 1
```


Entry from OQMD: BaCdPd2Pb after structural relaxation (PBE-GGA).

Results
DFT total energy ... -3.83 eV/atom
Density ... 8.35 g/cm3

```
data_BaCdPd2Pb
_chemical_formula_sum 'Ba1 Cd1 Pd2 Pb1'
_cell_length_a 6.338
_cell_length_b 6.338
_cell_length_c 6.338
_cell_angle_alpha 133.14
_cell_angle_beta 133.14
_cell_angle_gamma 68.43
_space_group_name_H-M_alt 'P 1'
_space_group_IT_number 1
_space_group_name_Hall 'P 1'
loop_
_atom_site_label
_atom_site_type_symbol
_atom_site_fract_x
_atom_site_fract_y
_atom_site_fract_z
_atom_site_occupancy
Ba1 Ba 0.000 0.000 0.000 1
Cd1 Cd 0.648 0.648 0.000 1
Pd1 Pd 0.252 0.752 0.500 1
Pd2 Pd 0.752 0.252 0.500 1
Pb1 Pb 0.356 0.356 0.000 1
```